{"formula": "AcThMo2O8", "functional": "PBE+U", "state": "optimized geometry", "spacegroup": "I-4, No. 82", "density_g_cm3": 7.3, "final_energy_ev_per_atom": -7.9857, "cell": [[-2.598, 4.775, -0.690], [0.419, -0.558, -5.435], [-4.079, -4.936, 2.954]], "species": ["Th", "O", "O", "O", "O", "O", "O", "O", "O", "Ac", "Mo", "Mo"], "fractional_positions": [[0.000, 0.000, 0.000], [0.764, 0.839, 0.160], [0.085, 0.990, 0.667], [0.161, 0.604, 0.840], [0.679, 0.236, 0.840], [0.583, 0.678, 0.667], [0.010, 0.417, 0.333], [0.322, 0.915, 0.333], [0.396, 0.321, 0.160], [0.750, 0.250, 0.500], [0.250, 0.750, 0.500], [0.500, 0.500, 0.000]]}